Record 1
# TlPdC2

A relaxed TlPdC2 crystal (GGA-PBE, Alexandria).

For the energy above the most stable polymorph in this dataset, the calculation gives 0 meV/atom. The uncorrected energy is -4.85 eV/atom. Its formation energy is 1651 meV per atom. The value obtained for the density of states at the Fermi level is 2.42 states/eV/f.u.

a b c (Å): 5.091 5.091 9.956
angles (deg): 90.00 90.00 90.00
Space group I-42d (No. 122)
Inequivalent atoms, fractional coordinates:
Tl 0.000 0.000 0.000 (multiplicity 4)
Pd 0.000 0.000 0.500 (multiplicity 4)
C 0.188 0.250 0.625 (multiplicity 8)


Record 2
# KTcW2

A relaxed KTcW2 crystal (GGA-PBE, Alexandria).

For the energy above the most stable polymorph in this dataset, the calculation gives 153 meV/atom. The uncorrected energy is -8.43 eV/atom. Its formation energy is 911 meV per atom. The value obtained for the density of states at the Fermi level is 2.48 states/eV/f.u.

a b c (Å): 2.891 4.055 8.004
angles (deg): 90.00 90.00 90.00
Space group Pmm2 (No. 25)
Inequivalent atoms, fractional coordinates:
K 0.000 0.000 0.000 (multiplicity 1)
Tc 0.500 0.500 0.350 (multiplicity 1)
W 0.000 0.000 0.485 (multiplicity 1)
W 0.500 0.500 0.641 (multiplicity 1)


Record 3
# Pm12Ho6Mg

A relaxed Pm12Ho6Mg crystal (GGA-PBE, Alexandria).

For the energy above the most stable polymorph in this dataset, the calculation gives 8 meV/atom. The uncorrected energy is -4.40 eV/atom. Its formation energy is 132 meV per atom. The value obtained for the density of states at the Fermi level is 26.48 states/eV/f.u.

a b c (Å): 13.0923 13.0923 12.9915
angles (deg): 90.00 90.00 120.00
Space group R-3m (No. 166, hexagonal axes)
Inequivalent atoms, fractional coordinates:
Pm 0.0000 0.2610 0.0000 (multiplicity 18)
Pm 0.0582 0.5291 0.1110 (multiplicity 18)
Ho 0.0899 0.1798 0.7733 (multiplicity 18)
Mg 0.0000 0.0000 0.0000 (multiplicity 3)


Record 4
# DyMnAl11

A relaxed DyMnAl11 crystal (GGA-PBE, Alexandria).

The uncorrected energy is -4.40 eV/atom. Its formation energy is -174 meV per atom. The value obtained for the density of states at the Fermi level is 6.11 states/eV/f.u.

a b c (Å): 5.192 12.600 7.070
angles (deg): 90.00 110.26 90.00
Space group C2/m (No. 12)
Inequivalent atoms, fractional coordinates:
Dy 0.000 0.000 0.000 (multiplicity 2)
Mn 0.000 0.500 0.500 (multiplicity 2)
Al 0.000 0.000 0.500 (multiplicity 2)
Al 0.106 0.393 0.227 (multiplicity 8)
Al 0.197 0.171 0.362 (multiplicity 8)
Al 0.250 0.250 0.000 (multiplicity 4)


Record 5
# Sm3Dy3Er

A relaxed Sm3Dy3Er crystal (GGA-PBE, Alexandria).

For the energy above the most stable polymorph in this dataset, the calculation gives 0 meV/atom. The uncorrected energy is -4.63 eV/atom. Its formation energy is 17 meV per atom. The value obtained for the density of states at the Fermi level is 12.91 states/eV/f.u.

a b c (Å): 9.5964 9.5964 5.7205
angles (deg): 90.00 90.00 120.00
Space group P6_3/m (No. 176)
Inequivalent atoms, fractional coordinates:
Sm 0.0481 0.2413 0.2500 (multiplicity 6)
Dy 0.0952 0.4775 0.7500 (multiplicity 6)
Er 0.3333 0.6667 0.2500 (multiplicity 2)


Record 6
# Ca4CuSi3Au12

A relaxed Ca4CuSi3Au12 crystal (GGA-PBE, Alexandria).

The uncorrected energy is -3.73 eV/atom. For the raw formation energy, the calculation gives -340 meV per atom. The value obtained for the density of states at the Fermi level is 6.17 states/eV/f.u.

a b c (Å): 9.692 9.692 9.692
angles (deg): 90.00 90.00 90.00
Space group Im-3m (No. 229)
Inequivalent atoms, fractional coordinates:
Ca 0.250 0.250 0.250 (multiplicity 8)
Cu 0.000 0.000 0.000 (multiplicity 2)
Si 0.000 0.000 0.500 (multiplicity 6)
Au 0.000 0.000 0.253 (multiplicity 12)
Au 0.000 0.250 0.500 (multiplicity 12)